Entry 1:
DFT (PBE) results for GePdPt after structural relaxation.

Summary:
Energy of formation from the pure elements = -0.425 eV/atom
DOS(E_F) = 1.1 states/eV/f.u.

Cell and atoms, written as CIF:
```
data_GePdPt
_chemical_formula_sum 'Ge2 Pd2 Pt2'
_space_group_name_H-M_alt 'P 3 m 1'
_space_group_IT_number 156
_cell_length_a 4.1200
_cell_length_b 4.1200
_cell_length_c 6.7106
_cell_angle_alpha 90.00
_cell_angle_beta 90.00
_cell_angle_gamma 120.00
loop_
_space_group_symop_operation_xyz
'x,y,z'
'-y,x-y,z'
'-x+y,-x,z'
'-y,-x,z'
'-x+y,y,z'
'x,x-y,z'
loop_
_atom_site_label
_atom_site_fract_x
_atom_site_fract_y
_atom_site_fract_z
_atom_site_occupancy
Ge1 0.0000 0.0000 0.0000 1
Ge2 0.3333 0.6667 0.5041 1
Pd1 0.0000 0.0000 0.3834 1
Pd2 0.6667 0.3333 0.1459 1
Pt1 0.3333 0.6667 0.8846 1
Pt2 0.6667 0.3333 0.6376 1
```

***

Entry 2:
DFT (PBE) results for GePdPt after structural relaxation.

Summary:
Energy of formation from the pure elements = -0.195 eV/atom
DOS(E_F) = 1.6 states/eV/f.u.

Cell and atoms, written as CIF:
```
data_GePdPt
_chemical_formula_sum 'Ge4 Pd4 Pt4'
_space_group_name_H-M_alt 'C m c m'
_space_group_IT_number 63
_space_group_name_Hall '-C 2c 2'
_cell_length_a 2.857
_cell_length_b 17.672
_cell_length_c 3.947
_cell_angle_alpha 90.00
_cell_angle_beta 90.00
_cell_angle_gamma 90.00
loop_
_atom_site_label
_atom_site_fract_x
_atom_site_fract_y
_atom_site_fract_z
_atom_site_occupancy
Ge1 0.000 0.067 0.250 1
Pd1 0.000 0.378 0.250 1
Pt1 0.000 0.211 0.250 1
```

***

Entry 3:
DFT (PBE) results for GePd3Pt4 after structural relaxation.

Summary:
Energy of formation from the pure elements = -0.168 eV/atom
DOS(E_F) = 10.8 states/eV/f.u.

Cell and atoms, written as CIF:
```
data_GePd3Pt4
_chemical_formula_sum 'Ge2 Pd6 Pt8'
_space_group_name_H-M_alt 'I 4/m m m'
_space_group_IT_number 139
_space_group_name_Hall '-I 4 2'
_cell_length_a 3.973
_cell_length_b 3.973
_cell_length_c 15.642
_cell_angle_alpha 90.00
_cell_angle_beta 90.00
_cell_angle_gamma 90.00
loop_
_atom_site_label
_atom_site_fract_x
_atom_site_fract_y
_atom_site_fract_z
_atom_site_occupancy
Ge1 0.000 0.000 0.000 1
Pd1 0.000 0.000 0.252 1
Pd2 0.000 0.000 0.500 1
Pt1 0.000 0.500 0.122 1
```

***

Copy entry 2 word for word.
DFT (PBE) results for GePdPt after structural relaxation.

Summary:
Energy of formation from the pure elements = -0.195 eV/atom
DOS(E_F) = 1.6 states/eV/f.u.

Cell and atoms, written as CIF:
```
data_GePdPt
_chemical_formula_sum 'Ge4 Pd4 Pt4'
_space_group_name_H-M_alt 'C m c m'
_space_group_IT_number 63
_space_group_name_Hall '-C 2c 2'
_cell_length_a 2.857
_cell_length_b 17.672
_cell_length_c 3.947
_cell_angle_alpha 90.00
_cell_angle_beta 90.00
_cell_angle_gamma 90.00
loop_
_atom_site_label
_atom_site_fract_x
_atom_site_fract_y
_atom_site_fract_z
_atom_site_occupancy
Ge1 0.000 0.067 0.250 1
Pd1 0.000 0.378 0.250 1
Pt1 0.000 0.211 0.250 1
```

***

Q: Look up the energy of formation from the pure elements of the first one.
A: -0.425 eV/atom